1.
This record from Alexandria via LeMat-Bulk describes a relaxed structure of TcSb2IrI. The functional is PBE-GGA.

Cell: 5.110 5.110 5.568 Å, 90.00 90.00 90.00°
Positions (direct):
Tc  0.000  0.000  0.000
Sb  0.000  0.500  0.500
Sb  0.500  0.000  0.500
Ir  0.500  0.500  0.500
I  0.500  0.500  0.000

Computed properties:
E_form (uncorrected) ... 1.170 eV per atom
DFT total energy ... -4.63 eV/atom
Symmetry ... No. 123
Energy above the most stable polymorph in this dataset ... 0.000 eV/atom
N(E_F) ... 0.7594 states/eV/atom

=====

2.
This record from Alexandria via LeMat-Bulk describes a relaxed structure of SbTe2IrI. The functional is PBE-GGA.

Cell: 5.326 5.326 5.281 Å, 90.00 90.00 90.00°
Positions (direct):
Sb  0.000  0.000  0.000
Te  0.000  0.500  0.500
Te  0.500  0.000  0.500
Ir  0.000  0.000  0.500
I  0.500  0.500  0.000

Computed properties:
E_form (uncorrected) ... 0.418 eV per atom
DFT total energy ... -3.75 eV/atom
Symmetry ... No. 123
Energy above the most stable polymorph in this dataset ... 0.000 eV/atom
N(E_F) ... 1.2968 states/eV/atom